{"formula": "CuBiSb2", "functional": "PBE", "state": "optimized geometry", "cell": [[0.000, 3.686, 3.686], [3.686, 0.000, 3.686], [3.686, 3.686, 0.000]], "species": ["Bi", "Sb", "Sb", "Cu"], "frac_coords": [[0.500, 0.500, 0.500], [0.000, 0.000, 0.000], [0.750, 0.750, 0.750], [0.250, 0.250, 0.250]], "crystal_system": "cubic", "total_energy_ev_per_atom": -3.63, "volume_a3_per_cell": 100}



{"formula": "NaHoPa", "functional": "PBE", "state": "optimized geometry", "cell": [[0.000, 3.673, 3.673], [3.673, 0.000, 3.673], [3.673, 3.673, 0.000]], "species": ["Pa", "Na", "Ho"], "frac_coords": [[0.750, 0.750, 0.750], [0.000, 0.000, 0.000], [0.250, 0.250, 0.250]], "crystal_system": "cubic", "total_energy_ev_per_atom": -3.69, "e_above_lowest_polymorph_mev_per_atom": 0, "volume_a3_per_cell": 99}



{"formula": "TbY2Mg3Pt3", "functional": "PBE", "state": "optimized geometry", "cell": [[-1.491, -0.213, 3.795], [-5.261, -4.591, -2.324], [6.423, -2.696, 2.372]], "species": ["Mg", "Mg", "Mg", "Pt", "Pt", "Pt", "Y", "Y", "Tb"], "frac_coords": [[0.500, 0.755, 0.000], [0.500, 0.000, 0.755], [0.500, 0.244, 0.244], [0.500, 0.334, 0.666], [0.000, 0.999, 0.999], [0.500, 0.666, 0.334], [0.000, 0.410, 0.000], [0.000, 0.000, 0.410], [0.000, 0.590, 0.590]], "crystal_system": "orthorhombic", "total_energy_ev_per_atom": -5.45, "volume_a3_per_cell": 192}



{"formula": "NiGe", "functional": "PBE", "state": "optimized geometry", "cell": [[4.558, 0.000, 0.000], [0.000, 2.785, 0.000], [0.000, 0.000, 4.169]], "species": ["Ge", "Ge", "Ni", "Ni"], "frac_coords": [[0.750, 0.000, 0.791], [0.250, 0.000, 0.209], [0.250, 0.500, 0.693], [0.750, 0.500, 0.307]], "crystal_system": "orthorhombic", "total_energy_ev_per_atom": -5.18, "volume_a3_per_cell": 53}



{"formula": "HfTaCd", "functional": "PBE", "state": "optimized geometry", "cell": [[0.000, 3.249, 3.249], [3.249, 0.000, 3.249], [3.249, 3.249, 0.000]], "species": ["Ta", "Hf", "Cd"], "frac_coords": [[0.750, 0.750, 0.750], [0.250, 0.250, 0.250], [0.000, 0.000, 0.000]], "crystal_system": "cubic", "total_energy_ev_per_atom": -6.65, "e_above_lowest_polymorph_mev_per_atom": 0, "volume_a3_per_cell": 69}



{"formula": "Al2Tc2Ge", "functional": "PBE", "state": "optimized geometry", "cell": [[-2.635, 0.695, 6.257], [-6.077, 1.351, 2.798], [3.845, -3.430, -4.475]], "species": ["Tc", "Tc", "Al", "Al", "Ge"], "frac_coords": [[0.601, 0.601, 0.000], [0.399, 0.399, 0.000], [0.750, 0.250, 0.500], [0.250, 0.750, 0.500], [0.000, 0.000, 0.000]], "crystal_system": "tetragonal", "total_energy_ev_per_atom": -6.43, "e_above_lowest_polymorph_mev_per_atom": 0, "volume_a3_per_cell": 77}